Compound: ZnCu3H
Source: Alexandria via LeMat-Bulk
Functional: GGA-PBE
Structure: relaxed

extended XYZ file:
```
5
Lattice="4.534 0.000 0.000 0.000 4.534 0.000 0.000 0.000 4.534" Properties=species:S:1:pos:R:3 pbc="T T T"
Zn 0.000 0.000 0.000
Cu 0.000 0.000 2.267
Cu 0.000 2.267 0.000
Cu 2.267 0.000 0.000
H 2.267 2.267 2.267
```

Computed properties:
VASP energy	-2.15	eV/atom
energy above the most stable polymorph in this dataset	1.184	eV per atom